Below is CuOsO4 after structural relaxation, with properties calculated at the GGA-PBE level.

Results
* DOS(E_F): 3.81 states/eV/cell
* theoretical density: 8.137 g cm⁻³
* raw formation energy: -78.67 kJ/mol of atoms

Cell: 4.5188 5.0412 5.6932 Å, 90.00 90.00 90.00°
Closest atoms and distances in Å follow each position.
Atoms (fractional coordinates):
Cu1 0.0000 0.5000 0.1734  6 O 2.01-2.16
Cu2 0.5000 0.5000 0.6734  6 O 2.01-2.16
Os1 0.0000 0.0000 0.8373  4 O 1.84-1.90
Os2 0.5000 0.0000 0.3373  4 O 1.84-1.90
O1 0.2463 0.8424 0.1105  2 Os 1.90-2.07, 1 Cu 2.09
O2 0.2173 0.3041 0.8841  1 Os 1.84, 1 Cu 2.01
O3 0.2827 0.3041 0.3841  1 Os 1.84, 1 Cu 2.01
O4 0.2537 0.8424 0.6105  2 Os 1.90-2.07, 1 Cu 2.09
O5 0.7173 0.6959 0.3841  1 Os 1.84, 1 Cu 2.01
O6 0.7463 0.1576 0.6105  2 Os 1.90-2.07, 1 Cu 2.09
O7 0.7537 0.1576 0.1105  2 Os 1.90-2.07, 1 Cu 2.09
O8 0.7827 0.6959 0.8841  1 Os 1.84, 1 Cu 2.01

***

Below is Cu6OsO12 after structural relaxation, with properties calculated at the GGA-PBE level.

Results
* DOS(E_F): 10.12 states/eV/cell
* theoretical density: 6.467 g cm⁻³
* raw formation energy: -45.64 kJ/mol of atoms

Cell: 5.9536 5.9536 5.9536 Å, 101.57 101.57 101.57°
Closest atoms and distances in Å follow each position.
Atoms (fractional coordinates):
Cu1 0.1535 0.3286 0.5865  4 O 1.86-2.06
Cu2 0.6714 0.4135 0.8465  4 O 1.86-2.06
Cu3 0.4135 0.8465 0.6714  4 O 1.86-2.06
Cu4 0.8465 0.6714 0.4135  4 O 1.86-2.06
Cu5 0.3286 0.5865 0.1535  4 O 1.86-2.06
Cu6 0.5865 0.1535 0.3286  4 O 1.86-2.06
Os1 0.0000 0.0000 0.0000  6 O 1.88
O1 0.4134 0.1769 0.6148  4 Cu 1.94-2.16
O2 0.1769 0.6148 0.4134  4 Cu 1.94-2.16
O3 0.6148 0.4134 0.1769  4 Cu 1.94-2.16
O4 0.5866 0.8231 0.3852  4 Cu 1.94-2.16
O5 0.8231 0.3852 0.5866  4 Cu 1.94-2.16
O6 0.3852 0.5866 0.8231  4 Cu 1.94-2.16
O7 0.0255 0.8975 0.6889  1 Cu 1.86, 1 Os 1.88
O8 0.3111 0.9745 0.1025  1 Cu 1.86, 1 Os 1.88
O9 0.1025 0.3111 0.9745  1 Cu 1.86, 1 Os 1.88
O10 0.9745 0.1025 0.3111  1 Cu 1.86, 1 Os 1.88
O11 0.6889 0.0255 0.8975  1 Cu 1.86, 1 Os 1.88
O12 0.8975 0.6889 0.0255  1 Cu 1.86, 1 Os 1.88

***

Below is CuOsO4 after structural relaxation, with properties calculated at the GGA-PBE level.

Results
* DOS(E_F): 6.28 states/eV/cell
* theoretical density: 8.115 g cm⁻³
* raw formation energy: -79.18 kJ/mol of atoms

Cell: 4.5246 5.4403 6.4056 Å, 124.43 90.00 90.00°
Closest atoms and distances in Å follow each position.
Atoms (fractional coordinates):
Cu1 0.0000 0.0000 0.5000  2 O 1.91
Cu2 0.5000 0.5000 0.0000  2 O 1.91
Os1 0.5000 0.5000 0.5000  6 O 1.87-1.97
Os2 0.0000 0.0000 0.0000  6 O 1.87-1.97
O1 0.7273 0.6696 0.8144  2 Os 1.94-1.97, 1 Cu 2.14
O2 0.7727 0.1696 0.3144  2 Os 1.94-1.97, 1 Cu 2.14
O3 0.3035 0.2916 0.6107  1 Os 1.87, 1 Cu 1.91
O4 0.8035 0.2084 0.8893  1 Os 1.87, 1 Cu 1.91
O5 0.1965 0.7916 0.1107  1 Os 1.87, 1 Cu 1.91
O6 0.6965 0.7084 0.3893  1 Os 1.87, 1 Cu 1.91
O7 0.2273 0.8304 0.6856  2 Os 1.94-1.97, 1 Cu 2.14
O8 0.2727 0.3304 0.1856  2 Os 1.94-1.97, 1 Cu 2.14